1.
! Tm2Al2InNi5 | Alexandria via LeMat-Bulk | GGA-PBE | relaxed; values from VASP
&SYSTEM
  ibrav = 0, nat = 20, ntyp = 4
/
ATOMIC_SPECIES
Tm 168.93 Tm.upf
Ni 58.69 Ni.upf
Al 26.98 Al.upf
In 114.82 In.upf
ATOMIC_POSITIONS angstrom
Tm 0.0000 3.0126 7.7512
Tm 0.0000 1.7260 3.0126
Tm 0.0000 7.7512 6.4646
Tm 0.0000 6.4646 1.7260
Ni 1.7715 7.3915 8.8872
Ni 1.7715 0.5900 7.3915
Ni 1.7715 4.7386 0.0000
Ni 1.7715 5.3286 6.8243
Ni 1.7715 2.6529 5.3286
Ni 1.7715 6.8243 4.1486
Ni 1.7715 2.0857 0.5900
Ni 1.7715 8.8872 2.0857
Ni 1.7715 4.1486 2.6529
Ni 1.7715 0.0000 4.7386
Al 0.0000 1.0730 5.8116
Al 0.0000 5.8116 8.4042
Al 0.0000 8.4042 3.6656
Al 0.0000 3.6656 1.0730
In 0.0000 4.7386 4.7386
In 0.0000 0.0000 0.0000
CELL_PARAMETERS angstrom
3.5429 0.0000 0.0000
0.0000 9.4772 0.0000
0.0000 0.0000 9.4772
! - spin magnetization (μB per cell) = 0.00
! - E_form (eV/atom) = -0.392
! - final energy (eV/atom) = -5.199


2.
! NpAlIn | Alexandria via LeMat-Bulk | GGA-PBE | relaxed; values from VASP
&SYSTEM
  ibrav = 0, nat = 3, ntyp = 3
/
ATOMIC_SPECIES
Np 237.00 Np.upf
Al 26.98 Al.upf
In 114.82 In.upf
ATOMIC_POSITIONS angstrom
Np -0.0056 0.1191 0.0206
Al 0.9329 1.8359 2.4113
In -0.1891 4.0001 0.6911
CELL_PARAMETERS angstrom
-1.0273 -0.5747 3.0454
3.0954 -0.0330 1.0380
-1.3299 6.5629 -0.9603
! - spin magnetization (μB per cell) = 4.72
! - E_form (eV/atom) = 0.155
! - final energy (eV/atom) = -6.319


3.
! NpAlIn2 | Alexandria via LeMat-Bulk | GGA-PBE | relaxed; values from VASP
&SYSTEM
  ibrav = 0, nat = 4, ntyp = 3
/
ATOMIC_SPECIES
In 114.82 In.upf
Al 26.98 Al.upf
Np 237.00 Np.upf
ATOMIC_POSITIONS angstrom
In 0.9415 -0.2859 2.0031
In -1.3132 -1.7672 0.3650
Al -1.9718 -0.6679 3.3179
Np -1.6001 1.3852 0.9498
CELL_PARAMETERS angstrom
-3.2002 2.7704 1.8996
-2.6264 -3.5343 0.7300
1.8830 -0.5718 4.0062
! - spin magnetization (μB per cell) = 4.16
! - E_form (eV/atom) = 0.017
! - final energy (eV/atom) = -5.523


4.
! NpAl4In | Alexandria via LeMat-Bulk | GGA-PBE | relaxed; values from VASP
&SYSTEM
  ibrav = 0, nat = 6, ntyp = 3
/
ATOMIC_SPECIES
Al 26.98 Al.upf
Np 237.00 Np.upf
In 114.82 In.upf
ATOMIC_POSITIONS angstrom
Al 5.5302 1.6061 2.8187
Al 6.9045 3.9863 2.8187
Al 5.5302 3.1929 0.5747
Al 4.1560 3.9863 2.8187
Np 2.7651 1.5964 1.1289
In 0.0000 0.0000 0.0000
CELL_PARAMETERS angstrom
5.5302 0.0000 0.0000
2.7651 4.7893 0.0000
2.7651 1.5964 4.5154
! - spin magnetization (μB per cell) = 4.86
! - E_form (eV/atom) = 0.068
! - final energy (eV/atom) = -5.041


5.
! NpAlIn | Alexandria via LeMat-Bulk | GGA-PBE | relaxed; values from VASP
&SYSTEM
  ibrav = 0, nat = 3, ntyp = 3
/
ATOMIC_SPECIES
In 114.82 In.upf
Np 237.00 Np.upf
Al 26.98 Al.upf
ATOMIC_POSITIONS angstrom
In -0.2742 0.0779 0.4015
Np 1.2109 -0.2955 3.2953
Al 0.2196 -2.6698 1.2694
CELL_PARAMETERS angstrom
-1.6421 0.4665 2.4048
-1.3202 -4.8883 0.0467
4.1186 1.5344 2.5146
! - spin magnetization (μB per cell) = 4.17
! - E_form (eV/atom) = 0.051
! - final energy (eV/atom) = -6.422


6.
! AlIn3O | Alexandria via LeMat-Bulk | GGA-PBE | relaxed; values from VASP
&SYSTEM
  ibrav = 0, nat = 10, ntyp = 3
/
ATOMIC_SPECIES
In 114.82 In.upf
Al 26.98 Al.upf
O 16.00 O.upf
ATOMIC_POSITIONS angstrom
In -4.7352 2.4727 2.3914
In -3.8448 -2.2870 -1.0347
In -1.7342 0.7073 1.6582
In -6.0553 -0.6798 1.9341
In -6.9450 4.0794 5.3592
In -9.0557 1.0854 2.6669
Al -4.1652 0.6389 -0.1148
Al -6.6249 1.1538 4.4399
O -8.1039 -0.1602 0.7176
O -10.7900 1.7927 4.3251
CELL_PARAMETERS angstrom
-0.9382 2.5212 -2.0635
-4.4796 -4.6344 -0.8265
-5.3723 3.9059 7.2151
! - spin magnetization (μB per cell) = 0.00
! - final energy (eV/atom) = -3.639
! - ΔE_f (raw) (eV per atom) = -0.256


7.
! AlInO2 | Alexandria via LeMat-Bulk | GGA-PBE | relaxed; values from VASP
&SYSTEM
  ibrav = 0, nat = 4, ntyp = 3
/
ATOMIC_SPECIES
Al 26.98 Al.upf
O 16.00 O.upf
In 114.82 In.upf
ATOMIC_POSITIONS angstrom
Al 0.0000 0.0000 0.0000
O -2.9160 15.7586 2.5630
O -0.3406 1.8407 0.2994
In -1.6283 8.7997 1.4312
CELL_PARAMETERS angstrom
-2.5406 5.7868 -0.2114
-1.3271 5.5259 2.7729
0.6112 6.2867 0.3009
! - spin magnetization (μB per cell) = 0.00
! - final energy (eV/atom) = -5.484
! - ΔE_f (raw) (eV per atom) = -1.385


8.
! Al5In3O12 | Alexandria via LeMat-Bulk | GGA-PBE | relaxed; values from VASP
&SYSTEM
  ibrav = 0, nat = 80, ntyp = 3
/
ATOMIC_SPECIES
Al 26.98 Al.upf
In 114.82 In.upf
O 16.00 O.upf
ATOMIC_POSITIONS angstrom
Al -2.8758 -6.1271 1.1174
Al -0.3434 -2.6400 4.6952
Al -2.6978 -4.1407 -1.5710
Al -0.9294 2.7421 8.6332
Al -3.7422 3.2789 6.3429
Al 0.8528 0.1095 6.8060
Al -3.4870 -3.4105 6.4185
Al -6.2746 -0.2081 2.7651
Al -0.6112 2.7166 5.3011
Al -0.0504 -5.3311 2.7262
Al 0.0000 0.0000 0.0000
Al 2.6475 -1.1904 4.2972
Al -7.4708 -2.9576 0.6543
Al -3.3090 -1.4241 3.7302
Al -3.1310 0.5623 1.0418
Al -5.9565 -0.2337 -0.5670
Al -3.2586 3.9070 1.0040
Al -5.6887 -5.5903 -1.1729
Al -1.5143 -2.7240 1.2213
Al -5.1037 -0.1242 6.2390
In -4.4925 -2.8408 0.9378
In -5.0533 5.2069 3.5128
In -3.1814 -4.7688 3.7680
In -2.1255 -0.0074 6.5225
In -1.5647 -8.0551 3.9475
In -9.0875 0.3287 0.4748
In -6.2998 -2.8737 4.1282
In -0.3182 0.0255 3.3321
In -0.3686 -5.3056 6.0583
In -6.2495 2.4574 1.4020
In 2.4695 -3.1768 6.9855
In -3.4366 1.9206 3.6924
O -4.9651 -7.1379 -1.6525
O -3.1050 4.1875 2.9037
O 3.4810 -1.7484 8.4492
O -5.0274 -1.4667 2.8604
O -3.5130 -7.0357 4.5566
O 0.1351 -3.0983 6.3413
O -8.7354 -1.9114 1.3285
O -4.5474 -4.2381 -1.0408
O -3.8493 2.1305 1.4581
O -8.6546 2.2565 1.6158
O -1.5906 -1.3815 4.5999
O -3.2391 4.8950 6.8755
O -4.0841 -0.0811 7.6905
O -5.1024 4.4215 1.2212
O -3.8287 -0.0773 5.0058
O -0.8412 -4.2355 4.0993
O -2.7687 -4.9787 6.0022
O -6.8317 3.7877 3.3416
O -6.3962 -3.7030 1.8537
O -3.9699 -2.8888 4.7927
O -2.6481 0.0407 2.6676
O 0.2137 -6.6359 4.1187
O -5.5821 -5.0331 3.9615
O -6.1984 -1.5166 6.1328
O -1.0359 2.1850 3.4988
O -6.2507 -2.1223 -0.3265
O -0.2218 0.8548 5.6067
O -7.5413 -1.0033 3.7200
O -2.5339 -2.7671 -0.2302
O -2.4053 -2.2938 7.2738
O -1.8045 -6.1036 2.5317
O -3.3789 -7.7432 0.5848
O -0.4196 -1.3316 1.3275
O 2.1174 -0.9368 6.1318
O -10.0990 -1.0998 -0.9889
O -6.7531 0.2501 1.1190
O 0.9232 -1.8449 3.7403
O -4.2127 -0.5544 0.1865
O -5.7768 1.3873 3.3610
O -2.0706 1.3899 8.5012
O -2.7893 -2.7709 2.4545
O -2.4354 2.2559 5.7150
O -0.3673 -0.7259 7.7869
O -1.5156 -7.2697 6.2391
O -1.6529 4.2897 9.1129
O -4.1826 -5.1041 1.7453
O -4.8136 3.2554 4.9287
O 2.0365 -5.1047 5.8445
CELL_PARAMETERS angstrom
-6.5173 7.8141 2.0080
-5.3957 -8.2814 -3.1419
5.2949 -2.3809 8.5943
! - spin magnetization (μB per cell) = 0.00
! - final energy (eV/atom) = -6.749
! - ΔE_f (raw) (eV per atom) = -2.428